[1]
Material: LaBPd2Se
Method: DFT, PBE
State: optimized geometry

The structure in POSCAR format:
```
LaBPd2Se
1.0
4.173 0.000 0.000
0.000 4.173 0.000
0.000 0.000 5.683
La B Pd Se
1 1 2 1
direct
0.000 0.000 0.000
0.500 0.500 0.500
0.000 0.500 0.500
0.500 0.000 0.500
0.500 0.500 0.000
```

Properties
Calculated volume, Å³ per cell: 98.96
Spin magnetization, μB/f.u.: 0.000
Energy relative to the elements, uncorrected, eV per atom: -0.596
E, eV per atom: -5.691
SG: P4/mmm (123)

[2]
Material: YAl
Method: DFT, PBE
State: optimized geometry

The structure in POSCAR format:
```
YAl
1.0
3.488 0.000 0.000
-1.744 3.021 0.000
0.000 0.000 4.829
Y Al
1 1
direct
0.000 0.000 0.000
0.333 0.667 0.500
```

Properties
Calculated volume, Å³ per cell: 50.89
Spin magnetization, μB/f.u.: 0.000
E, eV per atom: -5.208
SG: P-6m2 (187)